{
  "formula": "SiSe2O",
  "functional": "GGA-PBE",
  "state": "relaxed",
  "cell": [[-3.279, -2.685, -4.385], [2.642, -5.342, 1.295], [-3.307, -4.829, 1.188]],
  "species": ["Si", "Si", "O", "O", "Se", "Se", "Se", "Se"],
  "fractional_positions": [[0.750, 0.250, 0.500], [0.000, 0.000, 0.000], [0.500, 0.500, 0.000], [0.250, 0.750, 0.500], [0.375, 0.380, 0.750], [0.875, 0.870, 0.750], [0.620, 0.125, 0.250], [0.130, 0.625, 0.250]],
  "m_tot_mub_per_fu": 0.00,
  "raw_formation_energy_ev_per_atom": 0.249,
  "n_ef_per_ev_fu": 1.790,
  "de_polymorph_mev_per_atom": 234
}


{
  "formula": "La4CdPb3",
  "functional": "GGA-PBE",
  "state": "relaxed",
  "cell": [[5.051, -0.003, -1.361], [-0.366, 5.043, -1.341], [-0.038, -0.083, 9.875]],
  "species": ["La", "La", "La", "La", "Pb", "Pb", "Pb", "Cd"],
  "fractional_positions": [[0.624, 0.623, 0.248], [0.876, 0.877, 0.752], [0.376, 0.377, 0.752], [0.124, 0.123, 0.248], [0.750, 0.250, 0.499], [0.250, 0.750, 0.501], [0.000, 0.500, 0.000], [0.500, 0.000, 0.000]],
  "m_tot_mub_per_fu": 0.00,
  "n_ef_per_ev_fu": 7.007,
  "formation_energy_mev_per_atom": -529.3
}


{
  "formula": "CsK6Cd2",
  "functional": "GGA-PBE",
  "state": "relaxed",
  "cell": [[-10.834, -2.317, -1.778], [3.817, -4.598, 9.497], [1.782, 10.999, 1.325]],
  "species": ["Cd", "Cd", "Cd", "Cd", "Cs", "Cs", "K", "K", "K", "K", "K", "K", "K", "K", "K", "K", "K", "K"],
  "fractional_positions": [[0.500, 0.107, 0.607], [0.621, 0.621, 0.000], [0.379, 0.379, 0.000], [0.500, 0.893, 0.393], [0.000, 0.000, 0.000], [0.000, 0.500, 0.500], [0.764, 0.524, 0.759], [0.483, 0.191, 0.292], [0.236, 0.476, 0.241], [0.517, 0.809, 0.708], [0.693, 0.314, 0.007], [0.764, 0.005, 0.241], [0.898, 0.191, 0.708], [0.236, 0.995, 0.759], [0.102, 0.809, 0.292], [0.307, 0.314, 0.621], [0.693, 0.686, 0.379], [0.307, 0.686, 0.993]],
  "m_tot_mub_per_fu": 0.00,
  "n_ef_per_ev_fu": 6.298,
  "formation_energy_mev_per_atom": -7.7
}


{
  "formula": "Ba2TiPt3O12",
  "functional": "GGA-PBE",
  "state": "relaxed",
  "cell": [[7.212, 0.051, 0.036], [3.606, 6.246, 0.036], [3.606, 2.099, 5.883]],
  "species": ["O", "O", "O", "O", "O", "O", "O", "O", "O", "O", "O", "O", "Ba", "Ba", "Ti", "Pt", "Pt", "Pt"],
  "fractional_positions": [[0.926, 0.322, 0.926], [0.334, 0.935, 0.334], [0.926, 0.926, 0.322], [0.074, 0.678, 0.074], [0.678, 0.074, 0.074], [0.935, 0.334, 0.334], [0.666, 0.666, 0.065], [0.334, 0.334, 0.935], [0.065, 0.666, 0.666], [0.074, 0.074, 0.678], [0.322, 0.926, 0.926], [0.666, 0.065, 0.666], [0.658, 0.658, 0.658], [0.342, 0.342, 0.342], [0.000, 0.000, 0.000], [0.000, 0.000, 0.500], [0.500, 0.000, 0.000], [0.000, 0.500, 0.000]],
  "m_tot_mub_per_fu": 0.00,
  "raw_formation_energy_ev_per_atom": -1.350,
  "n_ef_per_ev_fu": 14.450
}


{
  "formula": "ZnFe3Sn",
  "functional": "GGA-PBE",
  "state": "relaxed",
  "cell": [[-4.071, -1.757, -0.210], [1.342, -2.723, -3.238], [1.153, -3.033, 3.029]],
  "species": ["Zn", "Fe", "Fe", "Fe", "Sn"],
  "fractional_positions": [[0.000, 0.000, 0.000], [0.000, 0.500, 0.000], [0.500, 0.000, 0.000], [0.000, 0.000, 0.500], [0.500, 0.500, 0.500]],
  "m_tot_mub_per_fu": 7.90,
  "n_ef_per_ev_fu": 9.888,
  "formation_energy_mev_per_atom": 901.9,
  "de_polymorph_mev_per_atom": 0
}


{
  "formula": "Pm2SmTmSb4",
  "functional": "GGA-PBE",
  "state": "relaxed",
  "cell": [[-0.478, -4.018, 1.857], [4.374, -3.083, -5.544], [4.469, 2.187, 5.882]],
  "species": ["Sb", "Sb", "Sb", "Sb", "Pm", "Pm", "Sm", "Tm"],
  "fractional_positions": [[0.500, 0.757, 0.757], [0.000, 0.248, 0.754], [0.000, 0.752, 0.246], [0.500, 0.243, 0.243], [0.000, 0.500, 0.500], [0.500, 0.000, 0.500], [0.500, 0.500, 0.000], [0.000, 0.000, 0.000]],
  "m_tot_mub_per_fu": 0.00,
  "raw_formation_energy_ev_per_atom": -1.150,
  "n_ef_per_ev_fu": 1.059
}